(1)
# SrVIr PBE optimized geometry
data_SrVIr
_symmetry_space_group_name_H-M 'P 1'
_symmetry_Int_Tables_number 1
_cell_length_a 5.4777
_cell_length_b 4.1919
_cell_length_c 5.9534
_cell_angle_alpha 90.00
_cell_angle_beta 77.18
_cell_angle_gamma 90.00
loop_
_symmetry_equiv_pos_as_xyz
'x,y,z'
loop_
_atom_site_label
_atom_site_type_symbol
_atom_site_fract_x
_atom_site_fract_y
_atom_site_fract_z
Ir1 Ir 0.8797 0.5000 0.7599
Ir2 Ir 0.3418 0.5000 0.8680
V1 V 0.6048 0.0000 0.8218
V2 V 0.0673 0.0000 0.9038
Sr1 Sr 0.7188 0.5000 0.2818
Sr2 Sr 0.2136 0.0000 0.3944
# Space-group type: No. 6
# Energy of formation: 0.01 eV/atom

***

(2)
# CrHg2Ir PBE optimized geometry
data_CrHg2Ir
_symmetry_space_group_name_H-M 'P 1'
_symmetry_Int_Tables_number 1
_cell_length_a 3.0868
_cell_length_b 3.9354
_cell_length_c 5.8999
_cell_angle_alpha 90.00
_cell_angle_beta 90.00
_cell_angle_gamma 90.00
loop_
_symmetry_equiv_pos_as_xyz
'x,y,z'
loop_
_atom_site_label
_atom_site_type_symbol
_atom_site_fract_x
_atom_site_fract_y
_atom_site_fract_z
Hg1 Hg 0.0000 0.0000 0.4983
Hg2 Hg 0.0000 0.0000 0.0017
Ir1 Ir 0.5000 0.5000 0.2500
Cr1 Cr 0.5000 0.5000 0.7500
# Space-group type: No. 47
# Energy of formation: 0.49 eV/atom

***

(3)
# RbMg14Mo PBE optimized geometry
data_RbMg14Mo
_symmetry_space_group_name_H-M 'P 1'
_symmetry_Int_Tables_number 1
_cell_length_a 6.4922
_cell_length_b 6.4922
_cell_length_c 10.4776
_cell_angle_alpha 90.00
_cell_angle_beta 90.00
_cell_angle_gamma 120.00
loop_
_symmetry_equiv_pos_as_xyz
'x,y,z'
loop_
_atom_site_label
_atom_site_type_symbol
_atom_site_fract_x
_atom_site_fract_y
_atom_site_fract_z
Mg1 Mg 0.1644 0.8356 0.2782
Mg2 Mg 0.5052 0.0104 0.5000
Mg3 Mg 0.1644 0.3288 0.2782
Mg4 Mg 0.9896 0.4948 0.5000
Mg5 Mg 0.6667 0.3333 0.2389
Mg6 Mg 0.4943 0.5057 0.0000
Mg7 Mg 0.1644 0.3288 0.7218
Mg8 Mg 0.6712 0.8356 0.7218
Mg9 Mg 0.0115 0.5057 0.0000
Mg10 Mg 0.4943 0.9885 0.0000
Mg11 Mg 0.1644 0.8356 0.7218
Mg12 Mg 0.5052 0.4948 0.5000
Mg13 Mg 0.6667 0.3333 0.7611
Mg14 Mg 0.6712 0.8356 0.2782
Rb1 Rb 0.0000 0.0000 0.0000
Mo1 Mo 0.0000 0.0000 0.5000
# Space-group type: No. 187
# Energy of formation: 0.24 eV/atom